#1
First-principles (PBE) data for a relaxed Tb3Nd4Mg crystal, as listed in Alexandria.

Geometry as POSCAR:
```
Tb3Nd4Mg
1.0
3.650 0.000 0.000
0.000 3.650 0.000
0.000 0.000 19.625
Tb Nd Mg
3 4 1
Cartesian
0.000 0.000 0.000
0.000 0.000 5.078
0.000 0.000 14.547
1.825 1.825 2.525
1.825 1.825 7.596
1.825 1.825 12.029
1.825 1.825 17.100
0.000 0.000 9.813
```

Summary:
For the density of states at the Fermi level, the calculation gives 10.22 states/eV/f.u. The space group is P4/mmm.

---

#2
First-principles (PBE) data for a relaxed Tb3Nd4Mg crystal, as listed in Alexandria.

Geometry as POSCAR:
```
Tb3Nd4Mg
1.0
11.477 0.000 0.000
0.000 7.264 0.000
0.000 0.000 6.283
Tb Nd Mg
6 8 2
Cartesian
0.000 0.868 0.000
2.782 6.350 1.086
2.956 0.914 4.228
5.738 6.397 3.142
8.521 0.914 4.228
8.694 6.350 1.086
0.000 2.698 3.305
0.000 6.347 3.275
2.773 2.743 1.129
2.965 4.521 4.270
5.738 0.917 0.134
5.738 4.566 0.163
8.512 4.521 4.270
8.703 2.743 1.129
0.000 4.550 0.116
5.738 2.714 3.257
```

Summary:
For the density of states at the Fermi level, the calculation gives 10.76 states/eV/f.u. The space group is Pmn2_1.

---

Of the structures shown above, #2 is the least stable.